No. 1
Below is a relaxed structure of TiSn3Os, with properties calculated at the PBE level.

a = 5.1794 Å, b = 5.1794 Å, c = 5.1794 Å
α = 90.00°, β = 90.00°, γ = 90.00°
With the nearest neighbours (Å) after each atom.
Element x y z (fractional)
Ti1 0.0000 0.0000 0.0000  6 Sn 2.59
Os1 0.5000 0.5000 0.5000  12 Sn 3.66
Sn1 0.0000 0.0000 0.5000  2 Ti 2.59
Sn2 0.5000 0.0000 0.0000  2 Ti 2.59
Sn3 0.0000 0.5000 0.0000  2 Ti 2.59

**Energy of formation from the pure elements**: 1.34 eV per atom
**Excess energy over the best structure of this formula in the dataset**: 519 meV per atom
**Electronic total energy**: -4.89 eV/atom
**Magnetic moment**: 0.6419 μB/atom

***

No. 2
Below is a relaxed structure of Ti2Sn2Os, with properties calculated at the PBE level.

a = 3.7772 Å, b = 3.7772 Å, c = 7.5992 Å
α = 75.61°, β = 75.61°, γ = 90.00°
With the nearest neighbours (Å) after each atom.
Element x y z (fractional)
Os1 0.0000 0.0000 0.0000  8 Ti 2.96
Ti1 0.5899 0.5899 0.8203  1 Ti 2.56
Sn1 0.2500 0.7500 0.5000  4 Sn 2.67, 4 Ti 2.96
Sn2 0.7500 0.2500 0.5000  4 Sn 2.67, 4 Ti 2.96
Ti2 0.4101 0.4101 0.1797  1 Ti 2.56

**Energy of formation from the pure elements**: 0.61 eV per atom
**Excess energy over the best structure of this formula in the dataset**: 564 meV per atom
**Electronic total energy**: -6.39 eV/atom
**Magnetic moment**: 0.0001 μB/atom

***

No. 3
Below is a relaxed structure of Ti2SnOs2, with properties calculated at the PBE level.

a = 7.4334 Å, b = 7.4334 Å, c = 3.0529 Å
α = 90.00°, β = 90.00°, γ = 90.00°
With the nearest neighbours (Å) after each atom.
Element x y z (fractional)
Sn1 0.5000 0.5000 0.0000  4 Os 2.88, 2 Sn 3.05, 8 Ti 3.20
Ti1 0.3445 0.1555 0.5000  6 Os 2.66
Ti2 0.8445 0.3445 0.5000  6 Os 2.66
Os1 0.6376 0.1376 0.0000  6 Ti 2.66, 2 Sn 2.88, 1 Os 2.89
Os2 0.3624 0.8624 0.0000  6 Ti 2.66, 2 Sn 2.88, 1 Os 2.89
Ti3 0.6555 0.8445 0.5000  6 Os 2.66
Os3 0.1376 0.3624 0.0000  6 Ti 2.66, 2 Sn 2.88, 1 Os 2.89
Ti4 0.1555 0.6555 0.5000  6 Os 2.66
Os4 0.8624 0.6376 0.0000  6 Ti 2.66, 2 Sn 2.88, 1 Os 2.89
Sn2 0.0000 0.0000 0.0000  4 Os 2.88, 2 Sn 3.05, 8 Ti 3.20

**Energy of formation from the pure elements**: -0.18 eV per atom
**Electronic total energy**: -8.63 eV/atom
**Magnetic moment**: 0.0000 μB/atom

***

No. 4
Below is a relaxed structure of TiSn3Os, with properties calculated at the PBE level.

a = 5.1212 Å, b = 5.1212 Å, c = 5.1212 Å
α = 90.00°, β = 90.00°, γ = 90.00°
With the nearest neighbours (Å) after each atom.
Element x y z (fractional)
Sn1 0.0000 0.0000 0.5000  2 Os 2.56
Os1 0.0000 0.0000 0.0000  6 Sn 2.56
Sn2 0.5000 0.0000 0.0000  2 Os 2.56
Sn3 0.0000 0.5000 0.0000  2 Os 2.56
Ti1 0.5000 0.5000 0.5000  12 Sn 3.62

**Energy of formation from the pure elements**: 0.82 eV per atom
**Excess energy over the best structure of this formula in the dataset**: 0 meV per atom
**Electronic total energy**: -5.41 eV/atom
**Magnetic moment**: 0.0643 μB/atom

***

No. 5
Below is a relaxed structure of Ti8Sn2Os, with properties calculated at the PBE level.

a = 4.6302 Å, b = 6.2676 Å, c = 7.8157 Å
α = 113.65°, β = 107.23°, γ = 90.00°
With the nearest neighbours (Å) after each atom.
Element x y z (fractional)
Ti1 0.6377 0.8778 0.2754  1 Os 2.48
Sn1 0.1855 0.6855 0.3709  12 Ti 2.84-3.14
Sn2 0.8145 0.3145 0.6291  12 Ti 2.84-3.14
Ti2 0.0000 0.7487 0.0000  2 Os 2.80, 7 Ti 2.80-3.12, 2 Sn 2.96
Os1 0.5000 0.0000 0.0000  4 Ti 2.48
Ti3 0.3623 0.1222 0.7246  1 Os 2.48
Ti4 0.1709 0.1710 0.3419  8 Ti 2.80-3.00, 2 Sn 3.02
Ti5 0.6377 0.3977 0.2754  1 Os 2.48
Ti6 0.3623 0.6023 0.7246  1 Os 2.48
Ti7 0.8291 0.8290 0.6581  8 Ti 2.80-3.00, 2 Sn 3.02
Ti8 0.0000 0.2513 0.0000  2 Os 2.80, 7 Ti 2.80-3.12, 2 Sn 2.96

**Energy of formation from the pure elements**: -0.29 eV per atom
**Electronic total energy**: -7.78 eV/atom
**Magnetic moment**: 0.0000 μB/atom

***

No. 6
Below is a relaxed structure of TiSn2Os2, with properties calculated at the PBE level.

a = 7.7222 Å, b = 7.7222 Å, c = 3.0219 Å
α = 90.00°, β = 90.00°, γ = 90.00°
With the nearest neighbours (Å) after each atom.
Element x y z (fractional)
Sn1 0.1465 0.3535 0.0000  6 Os 2.67-2.76, 2 Ti 2.96
Sn2 0.6465 0.1465 0.0000  6 Os 2.67-2.76, 2 Ti 2.96
Sn3 0.8535 0.6465 0.0000  6 Os 2.67-2.76, 2 Ti 2.96
Os1 0.3480 0.1520 0.5000  6 Sn 2.67-2.76
Ti1 0.5000 0.5000 0.0000  4 Sn 2.96, 2 Ti 3.02, 8 Os 3.30
Os2 0.6520 0.8480 0.5000  6 Sn 2.67-2.76
Ti2 0.0000 0.0000 0.0000  4 Sn 2.96, 2 Ti 3.02, 8 Os 3.30
Os3 0.1520 0.6520 0.5000  6 Sn 2.67-2.76
Sn4 0.3535 0.8535 0.0000  6 Os 2.67-2.76, 2 Ti 2.96
Os4 0.8480 0.3480 0.5000  6 Sn 2.67-2.76

**Energy of formation from the pure elements**: 0.36 eV per atom
**Excess energy over the best structure of this formula in the dataset**: 0 meV per atom
**Electronic total energy**: -7.32 eV/atom
**Magnetic moment**: 0.1832 μB/atom

***

No. 7
Below is a relaxed structure of Ti2Sn4Os, with properties calculated at the PBE level.

a = 5.1556 Å, b = 5.1556 Å, c = 7.6552 Å
α = 70.32°, β = 70.32°, γ = 90.00°
With the nearest neighbours (Å) after each atom.
Element x y z (fractional)
Ti1 0.4038 0.4038 0.1924  1 Ti 2.59, 5 Sn 2.78-2.88
Sn1 0.1975 0.1975 0.6050  1 Os 2.66, 1 Ti 2.78
Ti2 0.5962 0.5962 0.8076  1 Ti 2.59, 5 Sn 2.78-2.88
Sn2 0.8025 0.8025 0.3950  1 Os 2.66, 1 Ti 2.78
Sn3 0.0000 0.5000 0.0000  2 Os 2.58, 4 Ti 2.88
Os1 0.0000 0.0000 0.0000  6 Sn 2.58-2.66
Sn4 0.5000 0.0000 0.0000  2 Os 2.58, 4 Ti 2.88

**Energy of formation from the pure elements**: 0.43 eV per atom
**Electronic total energy**: -5.72 eV/atom
**Magnetic moment**: 0.0000 μB/atom

***

No. 8
Below is a relaxed structure of TiSn2Os2, with properties calculated at the PBE level.

a = 4.2077 Å, b = 4.2077 Å, c = 6.4142 Å
α = 70.85°, β = 70.85°, γ = 90.00°
With the nearest neighbours (Å) after each atom.
Element x y z (fractional)
Sn1 0.3836 0.3836 0.2327  4 Os 2.59, 1 Sn 2.64
Os1 0.7500 0.2500 0.5000  4 Sn 2.59
Ti1 0.0000 0.0000 0.0000  8 Sn 3.26, 8 Os 3.54
Sn2 0.6163 0.6163 0.7673  4 Os 2.59, 1 Sn 2.64
Os2 0.2500 0.7500 0.5000  4 Sn 2.59

**Energy of formation from the pure elements**: 0.68 eV per atom
**Excess energy over the best structure of this formula in the dataset**: 325 meV per atom
**Electronic total energy**: -6.99 eV/atom
**Magnetic moment**: 0.0000 μB/atom